Entry 1:
# PBE KZnCdSn, relaxed
data_KZnCdSn
_chemical_formula_sum 'K1 Zn1 Cd1 Sn1'
_cell_length_a 5.278
_cell_length_b 5.278
_cell_length_c 5.278
_cell_angle_alpha 60.00
_cell_angle_beta 60.00
_cell_angle_gamma 60.00
_symmetry_space_group_name_H-M 'P 1'
_symmetry_Int_Tables_number 1
_symmetry_space_group_name_Hall 'P 1'
loop_
_atom_site_label
_atom_site_type_symbol
_atom_site_fract_x
_atom_site_fract_y
_atom_site_fract_z
K1 K 0.500 0.500 0.500
Zn1 Zn 0.250 0.250 0.250
Sn1 Sn 0.000 0.000 0.000
Cd1 Cd 0.750 0.750 0.750
# **ΔH_f (0 K)**: 34 meV per atom
# **D(E_F)**: 2.110 states/eV per cell
# **ρ**: 5.36 Mg/m³

---

Entry 2:
# PBE KZnCd2Sn, relaxed
data_KZnCd2Sn
_chemical_formula_sum 'K1 Zn1 Cd2 Sn1'
_cell_length_a 5.280
_cell_length_b 5.280
_cell_length_c 5.422
_cell_angle_alpha 90.00
_cell_angle_beta 90.00
_cell_angle_gamma 90.00
_symmetry_space_group_name_H-M 'P 1'
_symmetry_Int_Tables_number 1
_symmetry_space_group_name_Hall 'P 1'
loop_
_atom_site_label
_atom_site_type_symbol
_atom_site_fract_x
_atom_site_fract_y
_atom_site_fract_z
K1 K 0.500 0.500 0.500
Zn1 Zn 0.000 0.000 0.000
Sn1 Sn 0.000 0.000 0.500
Cd1 Cd 0.000 0.500 0.000
Cd2 Cd 0.500 0.000 0.000
# **ΔH_f (0 K)**: 106 meV per atom
# **D(E_F)**: 4.114 states/eV per cell
# **ρ**: 4.92 Mg/m³

---

Entry 3:
# PBE KZrCdSn2, relaxed
data_KZrCdSn2
_chemical_formula_sum 'K1 Zr1 Cd1 Sn2'
_cell_length_a 5.729
_cell_length_b 5.053
_cell_length_c 5.729
_cell_angle_alpha 90.00
_cell_angle_beta 90.00
_cell_angle_gamma 90.00
_symmetry_space_group_name_H-M 'P 1'
_symmetry_Int_Tables_number 1
_symmetry_space_group_name_Hall 'P 1'
loop_
_atom_site_label
_atom_site_type_symbol
_atom_site_fract_x
_atom_site_fract_y
_atom_site_fract_z
K1 K 0.000 0.000 0.000
Sn1 Sn 0.000 0.000 0.500
Sn2 Sn 0.500 0.000 0.000
Zr1 Zr 0.000 0.500 0.000
Cd1 Cd 0.500 0.500 0.500
# **ΔH_f (0 K)**: 1465 meV per atom
# **D(E_F)**: 5.217 states/eV per cell
# **ρ**: 4.81 Mg/m³

---

How do the records compare in magnetic moment? In the order shown, they have 0.0 0.0 0.1 μB/cell.